1.
Entry from the Alexandria database: a geometry-optimized Th6Te3AsRu2 structure (PBE).

The space group is C2/m (No. 12) and the conventional cell measures 7.369, 12.754 and 7.923 Å, with angles of 90.00, 107.93 and 90.00 degrees. The inequivalent atoms are Th at (0.216, 0.000, 0.205), Th at (0.246, 0.324, 0.207), Te at (0.000, 0.000, 0.500), Te at (0.000, 0.341, 0.500), As at (0.000, 0.500, 0.000) and Ru at (0.000, 0.168, 0.000).

The calculation puts the spin magnetization at 0.000 μB/f.u. The calculation puts the density of states at the Fermi level at 16.7 states/eV/cell. Its crystal system is monoclinic. The calculation puts the total energy at -178.29 eV/cell.

---

2.
Entry from the Alexandria database: a geometry-optimized Th6Te3As2Ru structure (PBE).

The space group is C2/m (No. 12) and the conventional cell measures 19.234, 4.216 and 9.046 Å, with angles of 90.00, 105.15 and 90.00 degrees. The inequivalent atoms are Th at (0.004, 0.000, 0.214), Th at (0.154, 0.500, 0.097), Th at (0.174, 0.500, 0.565), Te at (0.000, 0.500, 0.500), Te at (0.171, 0.000, 0.834), As at (0.166, 0.000, 0.334) and Ru at (0.000, 0.500, 0.000).

The calculation puts the spin magnetization at 0.000 μB/f.u. The calculation puts the density of states at the Fermi level at 19.2 states/eV/cell. Its crystal system is monoclinic. The calculation puts the total energy at -171.92 eV/cell.

---

3.
Entry from the Alexandria database: a geometry-optimized Th4Te2AsRu structure (PBE).

The space group is P2/m (No. 10) and the conventional cell measures 7.597, 4.177 and 7.823 Å, with angles of 90.00, 107.82 and 90.00 degrees. The inequivalent atoms are Th at (0.216, 0.000, 0.204), Th at (0.254, 0.500, 0.785), Te at (0.000, 0.000, 0.500), Te at (0.500, 0.500, 0.500), As at (0.500, 0.000, 0.000) and Ru at (0.000, 0.500, 0.000).

The calculation puts the spin magnetization at 0.000 μB/f.u. The calculation puts the density of states at the Fermi level at 6.5 states/eV/cell. Its crystal system is monoclinic. The calculation puts the total energy at -58.29 eV/cell.

---

4.
Entry from the Alexandria database: a geometry-optimized Th8Te4AsRu3 structure (PBE).

The space group is R-3m (No. 166, hexagonal axes) and the conventional cell measures 8.4717, 8.4717 and 22.7176 Å, with angles of 90.00, 90.00 and 120.00 degrees. The inequivalent atoms are Th at (0.0000, 0.0000, 0.2334), Th at (0.0152, 0.5076, 0.7648), Te at (0.0000, 0.0000, 0.0000), Te at (0.0000, 0.5000, 0.0000), As at (0.0000, 0.0000, 0.5000) and Ru at (0.0000, 0.5000, 0.5000).

The calculation puts the spin magnetization at 0.000 μB/f.u. The calculation puts the density of states at the Fermi level at 34.5 states/eV/cell. Its crystal system is trigonal. The calculation puts the total energy at -358.71 eV/cell.

---

5.
Entry from the Alexandria database: a geometry-optimized VTeAs2Ru structure (PBE).

The space group is P4/mmm (No. 123) and the conventional cell measures 5.251, 5.251 and 4.771 Å, with angles of 90.00, 90.00 and 90.00 degrees. The inequivalent atoms are V at (0.000, 0.000, 0.000), Te at (0.500, 0.500, 0.500), As at (0.000, 0.500, 0.500) and Ru at (0.500, 0.500, 0.000).

The calculation puts the spin magnetization at 0.440 μB/f.u. The calculation puts the density of states at the Fermi level at 9.0 states/eV/cell. Its crystal system is tetragonal. The calculation puts the total energy at -22.15 eV/cell.

---

6.
Entry from the Alexandria database: a geometry-optimized ZnTe2AsRu structure (PBE).

The space group is P4/mmm (No. 123) and the conventional cell measures 5.547, 5.547 and 4.518 Å, with angles of 90.00, 90.00 and 90.00 degrees. The inequivalent atoms are Zn at (0.000, 0.000, 0.000), Te at (0.000, 0.500, 0.500), As at (0.000, 0.000, 0.500) and Ru at (0.500, 0.500, 0.000).

The calculation puts the spin magnetization at 2.693 μB/f.u. The calculation puts the density of states at the Fermi level at 5.1 states/eV/cell. Its crystal system is tetragonal. The calculation puts the total energy at -16.29 eV/cell.

---

7.
Entry from the Alexandria database: a geometry-optimized ThAs2Ru structure (PBE).

The space group is I4/mmm (No. 139) and the conventional cell measures 4.190, 4.190 and 18.890 Å, with angles of 90.00, 90.00 and 90.00 degrees. The inequivalent atoms are Th at (0.000, 0.000, 0.118), As at (0.000, 0.000, 0.321), As at (0.000, 0.500, 0.000) and Ru at (0.000, 0.500, 0.250).

The calculation puts the spin magnetization at 0.000 μB/f.u. The calculation puts the density of states at the Fermi level at 11.0 states/eV/cell. Its crystal system is tetragonal. The value obtained for the energy of formation is -858 meV per atom. The calculation puts the total energy at -117.71 eV/cell.

---

8.
Entry from the Alexandria database: a geometry-optimized ThAs2Ru structure (PBE).

The space group is R-3m (No. 166, hexagonal axes) and the conventional cell measures 4.3834, 4.3834 and 23.4483 Å, with angles of 90.00, 90.00 and 120.00 degrees. The inequivalent atoms are Th at (0.0000, 0.0000, 0.0000), As at (0.0000, 0.0000, 0.3979) and Ru at (0.0000, 0.0000, 0.5000).

The calculation puts the spin magnetization at 3.419 μB/f.u. The calculation puts the density of states at the Fermi level at 17.8 states/eV/cell. Its crystal system is trigonal. The value obtained for the energy of formation is 380 meV per atom. The calculation puts the total energy at -73.42 eV/cell.

---

Q: Which of these has the lowest total energy?
A: Th8Te4AsRu3

---

Q: Which of these has the highest spin magnetization?
A: number 8

---

What did the first record say?
Entry from the Alexandria database: a geometry-optimized Th6Te3AsRu2 structure (PBE).

The space group is C2/m (No. 12) and the conventional cell measures 7.369, 12.754 and 7.923 Å, with angles of 90.00, 107.93 and 90.00 degrees. The inequivalent atoms are Th at (0.216, 0.000, 0.205), Th at (0.246, 0.324, 0.207), Te at (0.000, 0.000, 0.500), Te at (0.000, 0.341, 0.500), As at (0.000, 0.500, 0.000) and Ru at (0.000, 0.168, 0.000).

The calculation puts the spin magnetization at 0.000 μB/f.u. The calculation puts the density of states at the Fermi level at 16.7 states/eV/cell. Its crystal system is monoclinic. The calculation puts the total energy at -178.29 eV/cell.